Material: TcTeAu2
Method: DFT, meta-GGA SCAN
State: single point on PBEsol structure Values from VASP.

The structure in Quantum ESPRESSO input format:
```
&SYSTEM
  ibrav = 0, nat = 4, ntyp = 3
/
ATOMIC_SPECIES
Tc 98.00 Tc.upf
Te 127.60 Te.upf
Au 196.97 Au.upf
ATOMIC_POSITIONS crystal
Tc 0.000 0.000 0.000
Te 0.500 0.500 0.000
Au 0.000 0.500 0.500
Au 0.500 0.000 0.500
CELL_PARAMETERS angstrom
3.922 0.000 0.000
0.000 3.922 0.000
0.000 0.000 4.590
```

## Properties
Symmetry: P4/mmm, No. 123
Electronic total energy in eV per cell: -208.55
ΔE_f (raw) in meV/atom: 519
Theoretical density in Mg/m³: 14.574


Material: ReSiBr2
Method: DFT, meta-GGA SCAN
State: single point on PBEsol structure Values from VASP.

The structure in Quantum ESPRESSO input format:
```
&SYSTEM
  ibrav = 0, nat = 4, ntyp = 3
/
ATOMIC_SPECIES
Re 186.21 Re.upf
Si 28.09 Si.upf
Br 79.90 Br.upf
ATOMIC_POSITIONS crystal
Re 0.000 0.000 0.000
Si 0.000 0.000 0.500
Br 0.500 0.500 0.199
Br 0.500 0.500 0.801
CELL_PARAMETERS angstrom
3.030 0.000 0.000
0.000 3.030 0.000
0.000 0.000 8.231
```

## Properties
Symmetry: P4/mmm, No. 123
Electronic total energy in eV per cell: -114.26
ΔE_f (raw) in meV/atom: 1444
Theoretical density in Mg/m³: 8.219


Material: NbAl3Sb
Method: DFT, meta-GGA SCAN
State: single point on PBEsol structure Values from VASP.

The structure in Quantum ESPRESSO input format:
```
&SYSTEM
  ibrav = 0, nat = 5, ntyp = 3
/
ATOMIC_SPECIES
Nb 92.91 Nb.upf
Al 26.98 Al.upf
Sb 121.76 Sb.upf
ATOMIC_POSITIONS crystal
Nb 0.000 0.000 0.000
Al 0.000 0.000 0.500
Al 0.000 0.500 0.000
Al 0.500 0.000 0.000
Sb 0.500 0.500 0.500
CELL_PARAMETERS angstrom
4.962 0.000 0.000
0.000 4.962 0.000
0.000 0.000 4.962
```

## Properties
Symmetry: Pm-3m, No. 221
Electronic total energy in eV per cell: -89.35
ΔE_f (raw) in meV/atom: 859
Theoretical density in Mg/m³: 4.018


Material: CoTc2Os
Method: DFT, meta-GGA SCAN
State: single point on PBEsol structure Values from VASP.

The structure in Quantum ESPRESSO input format:
```
&SYSTEM
  ibrav = 0, nat = 4, ntyp = 3
/
ATOMIC_SPECIES
Co 58.93 Co.upf
Tc 98.00 Tc.upf
Os 190.23 Os.upf
ATOMIC_POSITIONS crystal
Co 0.000 0.000 0.000
Tc 0.500 0.500 0.500
Tc 0.746 0.746 0.746
Os 0.252 0.252 0.252
CELL_PARAMETERS angstrom
1.330 0.768 8.583
-1.330 0.768 8.583
0.000 -1.536 8.583
```

## Properties
Symmetry: R3m, No. 160
Electronic total energy in eV per cell: -158.64
ΔH_f (0 K) in eV per formula unit: 0.7
Relative energy among the computed polymorphs in meV per atom: 172
Theoretical density in Mg/m³: 14.056


Material: Ca2PtAu
Method: DFT, meta-GGA SCAN
State: single point on PBEsol structure Values from VASP.

The structure in Quantum ESPRESSO input format:
```
&SYSTEM
  ibrav = 0, nat = 4, ntyp = 3
/
ATOMIC_SPECIES
Ca 40.08 Ca.upf
Pt 195.08 Pt.upf
Au 196.97 Au.upf
ATOMIC_POSITIONS crystal
Ca 0.250 0.250 0.250
Ca 0.750 0.750 0.750
Pt 0.000 0.000 0.000
Au 0.500 0.500 0.500
CELL_PARAMETERS angstrom
0.000 3.493 3.493
3.493 0.000 3.493
3.493 3.493 0.000
```

## Properties
Symmetry: Fm-3m, No. 225
Electronic total energy in eV per cell: -162.59
ΔH_f (0 K) in eV per formula unit: -3.9
Theoretical density in Mg/m³: 9.200


Material: Nd5P12Ru19
Method: DFT, meta-GGA SCAN
State: single point on PBEsol structure Values from VASP.

The structure in Quantum ESPRESSO input format:
```
&SYSTEM
  ibrav = 0, nat = 36, ntyp = 3
/
ATOMIC_SPECIES
Nd 144.24 Nd.upf
P 30.97 P.upf
Ru 101.07 Ru.upf
ATOMIC_POSITIONS crystal
Nd 0.000 0.815 0.000
Nd 0.185 0.185 0.000
Nd 0.333 0.667 0.500
Nd 0.667 0.333 0.500
Nd 0.815 0.000 0.000
P 0.000 0.186 0.500
P 0.000 0.625 0.500
P 0.170 0.477 0.000
P 0.186 0.000 0.500
P 0.306 0.830 0.000
P 0.375 0.375 0.500
P 0.477 0.170 0.000
P 0.523 0.694 0.000
P 0.625 0.000 0.500
P 0.694 0.523 0.000
P 0.814 0.814 0.500
P 0.830 0.306 0.000
Ru 0.000 0.000 0.500
Ru 0.000 0.284 0.000
Ru 0.000 0.444 0.500
Ru 0.124 0.633 0.000
Ru 0.184 0.378 0.500
Ru 0.194 0.816 0.500
Ru 0.284 0.000 0.000
Ru 0.367 0.490 0.000
Ru 0.378 0.184 0.500
Ru 0.444 0.000 0.500
Ru 0.490 0.367 0.000
Ru 0.510 0.876 0.000
Ru 0.556 0.556 0.500
Ru 0.622 0.806 0.500
Ru 0.633 0.124 0.000
Ru 0.716 0.716 0.000
Ru 0.806 0.622 0.500
Ru 0.816 0.194 0.500
Ru 0.876 0.510 0.000
CELL_PARAMETERS angstrom
12.484 0.000 0.000
-6.242 10.812 0.000
0.000 0.000 3.952
```

## Properties
Symmetry: P-62m, No. 189
Electronic total energy in eV per cell: -1037.19
ΔH_f (0 K) in eV per formula unit: -32.8
Theoretical density in Mg/m³: 9.379